Here is an optimized crystal structure of Ho6Te2AsSe3 from Alexandria via LeMat-Bulk. Energies are from PBE.

Properties
* calculated density: 8.4 g/cm3
* formation energy from raw total energies: -1557 meV per atom
* total moment: 0.0 μB/f.u.

```
Ho6Te2AsSe3
1.0
-1.6029 6.9415 -1.3519
-1.8886 -5.1586 -4.7332
-4.7434 -1.3383 5.1901
Te Ho Se As
2 6 3 1
Direct
0.6634 0.3366 0.0000
0.3366 0.6634 0.0000
0.7879 0.7879 0.2752
0.9137 0.6084 0.7367
0.0863 0.3916 0.2633
0.3916 0.0863 0.2633
0.2121 0.2121 0.7248
0.6084 0.9137 0.7367
0.1793 0.8207 0.5000
0.5000 0.5000 0.5000
0.8207 0.1793 0.5000
0.0000 0.0000 0.0000
```

***

Here is an optimized crystal structure of Ho6TeAs2Se3 from Alexandria via LeMat-Bulk. Energies are from PBE.

Properties
* calculated density: 8.4 g/cm3
* formation energy from raw total energies: -1622 meV per atom
* total moment: 0.0 μB/f.u.

```
Ho6TeAs2Se3
1.0
4.1145 0.0000 0.0000
0.0000 8.2538 0.3359
-2.0573 -2.3364 8.6698
Se Ho As Te
3 6 2 1
Direct
0.8384 0.1652 0.6768
0.5000 0.5000 0.0000
0.1616 0.8348 0.3232
0.3244 0.8974 0.6488
0.3296 0.4230 0.6592
0.6704 0.5770 0.3408
0.0068 0.2740 0.0137
0.6756 0.1026 0.3512
0.9932 0.7260 0.9863
0.8324 0.6654 0.6649
0.1676 0.3346 0.3351
0.5000 0.0000 0.0000
```

***

Here is an optimized crystal structure of HoTh2As2Se2 from Alexandria via LeMat-Bulk. Energies are from PBE.

Properties
* calculated density: 7.5 g/cm3
* formation energy from raw total energies: -1091 meV per atom
* total moment: 0.9 μB/f.u.

```
HoTh2As2Se2
1.0
-1.4476 3.8713 3.3117
-4.9511 -0.2578 -1.8629
1.5260 -6.8319 4.4184
Se As Th Ho
2 2 2 1
Direct
0.1917 0.1917 0.3834
0.8083 0.8083 0.6166
0.0000 0.5000 0.0000
0.5000 0.0000 0.0000
0.3833 0.3833 0.7665
0.6167 0.6167 0.2335
0.0000 0.0000 0.0000
```

***

Here is an optimized crystal structure of Ho6Tl3AsSe2 from Alexandria via LeMat-Bulk. Energies are from PBE.

Properties
* calculated density: 9.5 g/cm3
* formation energy from raw total energies: -995 meV per atom
* total moment: 0.0 μB/f.u.

```
Ho6Tl3AsSe2
1.0
6.8325 -0.0043 -0.0001
-3.4183 5.9159 -0.0001
-1.1387 -1.9717 7.9181
Ho Tl As Se
6 3 1 2
Direct
0.5994 0.9287 0.7851
0.9287 0.5994 0.7851
0.2550 0.2550 0.7813
0.7450 0.7450 0.2187
0.4006 0.0713 0.2149
0.0713 0.4006 0.2149
0.8297 0.1703 0.5000
0.1703 0.8297 0.5000
0.5000 0.5000 0.5000
0.0000 0.0000 0.0000
0.6656 0.3344 0.0000
0.3344 0.6656 0.0000
```

***

Please write out number 3 again, unchanged.
Here is an optimized crystal structure of HoTh2As2Se2 from Alexandria via LeMat-Bulk. Energies are from PBE.

Properties
* calculated density: 7.5 g/cm3
* formation energy from raw total energies: -1091 meV per atom
* total moment: 0.9 μB/f.u.

```
HoTh2As2Se2
1.0
-1.4476 3.8713 3.3117
-4.9511 -0.2578 -1.8629
1.5260 -6.8319 4.4184
Se As Th Ho
2 2 2 1
Direct
0.1917 0.1917 0.3834
0.8083 0.8083 0.6166
0.0000 0.5000 0.0000
0.5000 0.0000 0.0000
0.3833 0.3833 0.7665
0.6167 0.6167 0.2335
0.0000 0.0000 0.0000
```

***

Q: What is the formula in the first record?
A: Ho6Te2AsSe3

***

What did the fourth record say?
Here is an optimized crystal structure of Ho6Tl3AsSe2 from Alexandria via LeMat-Bulk. Energies are from PBE.

Properties
* calculated density: 9.5 g/cm3
* formation energy from raw total energies: -995 meV per atom
* total moment: 0.0 μB/f.u.

```
Ho6Tl3AsSe2
1.0
6.8325 -0.0043 -0.0001
-3.4183 5.9159 -0.0001
-1.1387 -1.9717 7.9181
Ho Tl As Se
6 3 1 2
Direct
0.5994 0.9287 0.7851
0.9287 0.5994 0.7851
0.2550 0.2550 0.7813
0.7450 0.7450 0.2187
0.4006 0.0713 0.2149
0.0713 0.4006 0.2149
0.8297 0.1703 0.5000
0.1703 0.8297 0.5000
0.5000 0.5000 0.5000
0.0000 0.0000 0.0000
0.6656 0.3344 0.0000
0.3344 0.6656 0.0000
```

***

Q: What is the formula in the first record?
A: Ho6Te2AsSe3